[1]
K2InFeCl6 (PBE, optimized geometry); E_tot = -36.81 eV/cell; crystal system = cubic
1.0
0.000 5.143 5.143
5.143 0.000 5.143
5.143 5.143 0.000
Cl Fe In K
6 1 1 2
direct
0.764 0.236 0.236
0.236 0.764 0.236
0.764 0.764 0.236
0.236 0.236 0.764
0.764 0.236 0.764
0.236 0.764 0.764
0.000 0.000 0.000
0.500 0.500 0.500
0.250 0.250 0.250
0.750 0.750 0.750



[2]
LiIn2FeCl6 (PBE, optimized geometry); excess energy over the best structure of this formula in the dataset = 8.3 meV per atom; crystal system = monoclinic
1.0
-5.561 0.226 -4.158
-4.918 -4.881 0.511
0.754 4.711 5.050
Cl Fe In Li
6 1 2 1
direct
0.757 0.242 0.242
0.242 0.757 0.242
0.243 0.243 0.244
0.757 0.757 0.756
0.758 0.243 0.758
0.243 0.758 0.758
0.000 0.000 0.000
0.750 0.750 0.250
0.250 0.250 0.750
0.500 0.500 0.500



[3]
LiIn2FeCl6 (PBE, optimized geometry); excess energy over the best structure of this formula in the dataset = 10.1 meV per atom; crystal system = cubic
1.0
0.000 4.895 4.895
4.895 0.000 4.895
4.895 4.895 0.000
Cl Fe In Li
6 1 2 1
direct
0.244 0.756 0.244
0.756 0.756 0.244
0.756 0.244 0.244
0.756 0.244 0.756
0.244 0.244 0.756
0.244 0.756 0.756
0.000 0.000 0.000
0.250 0.250 0.250
0.750 0.750 0.750
0.500 0.500 0.500



[4]
LiIn2FeCl6 (PBE, optimized geometry); excess energy over the best structure of this formula in the dataset = 0.0 meV per atom; crystal system = tetragonal
1.0
-3.421 3.421 5.066
3.421 -3.421 5.066
3.421 3.421 -5.066
Cl Fe In Li
6 1 2 1
direct
0.239 0.239 0.000
0.761 0.761 0.000
0.290 0.805 0.095
0.195 0.290 0.486
0.805 0.710 0.514
0.710 0.195 0.905
0.000 0.000 0.000
0.750 0.250 0.500
0.250 0.750 0.500
0.500 0.500 0.000



[5]
Tl2InFeCl6 (PBE, optimized geometry); E_tot = -35.55 eV/cell; crystal system = cubic
1.0
0.000 5.147 5.147
5.147 0.000 5.147
5.147 5.147 0.000
Cl Fe In Tl
6 1 1 2
direct
0.764 0.236 0.236
0.236 0.764 0.236
0.764 0.764 0.236
0.236 0.236 0.764
0.764 0.236 0.764
0.236 0.764 0.764
0.000 0.000 0.000
0.500 0.500 0.500
0.250 0.250 0.250
0.750 0.750 0.750



[6]
KFeCl3 (PBE, optimized geometry); E_tot = -84.07 eV/cell; crystal system = orthorhombic
1.0
-2.294 -0.048 8.391
2.396 -2.964 0.638
10.439 9.062 2.905
Cl Fe K
12 4 4
direct
0.679 0.250 0.007
0.979 0.750 0.098
0.276 0.250 0.202
0.776 0.250 0.298
0.479 0.750 0.402
0.179 0.250 0.493
0.821 0.750 0.507
0.521 0.250 0.598
0.224 0.750 0.702
0.724 0.750 0.798
0.021 0.250 0.902
0.321 0.750 0.993
0.165 0.250 0.051
0.665 0.250 0.449
0.335 0.750 0.551
0.835 0.750 0.949
0.566 0.750 0.173
0.066 0.750 0.327
0.934 0.250 0.673
0.434 0.250 0.827



[7]
K3Fe2Cl8 (PBE, optimized geometry); E_tot = -52.27 eV/cell; crystal system = trigonal
1.0
3.568 2.060 8.654
-3.568 2.060 8.654
0.000 -4.120 8.654
Cl Fe K
8 2 3
direct
0.735 0.735 0.223
0.265 0.777 0.265
0.777 0.265 0.265
0.320 0.320 0.320
0.680 0.680 0.680
0.223 0.735 0.735
0.735 0.223 0.735
0.265 0.265 0.777
0.406 0.406 0.406
0.594 0.594 0.594
0.000 0.000 0.000
0.203 0.203 0.203
0.797 0.797 0.797



[8]
K2LiFeCl6 (PBE, optimized geometry); E_tot = -37.82 eV/cell; crystal system = cubic
1.0
0.000 4.905 4.905
4.905 0.000 4.905
4.905 4.905 0.000
Cl Fe K Li
6 1 2 1
direct
0.757 0.243 0.243
0.243 0.757 0.243
0.757 0.757 0.243
0.243 0.243 0.757
0.757 0.243 0.757
0.243 0.757 0.757
0.000 0.000 0.000
0.250 0.250 0.250
0.750 0.750 0.750
0.500 0.500 0.500



[9]
K6LiFe24S26Cl (PBE, optimized geometry); E_tot = -350.47 eV/cell; crystal system = cubic
1.0
-5.781 -7.891 0.782
7.525 -5.764 -2.539
2.501 -0.896 9.446
Cl Fe K Li S
1 24 6 1 26
direct
0.000 0.000 0.000
0.365 0.365 0.135
0.635 0.365 0.135
0.365 0.635 0.135
0.635 0.635 0.135
0.365 0.135 0.365
0.635 0.135 0.365
0.135 0.365 0.365
0.865 0.365 0.365
0.135 0.635 0.365
0.865 0.635 0.365
0.365 0.865 0.365
0.635 0.865 0.365
0.365 0.135 0.635
0.635 0.135 0.635
0.135 0.365 0.635
0.865 0.365 0.635
0.135 0.635 0.635
0.865 0.635 0.635
0.365 0.865 0.635
0.635 0.865 0.635
0.365 0.365 0.865
0.635 0.365 0.865
0.365 0.635 0.865
0.635 0.635 0.865
0.300 0.000 0.000
0.700 0.000 0.000
0.000 0.300 0.000
0.000 0.700 0.000
0.000 0.000 0.300
0.000 0.000 0.700
0.500 0.500 0.500
0.500 0.250 0.000
0.250 0.500 0.000
0.750 0.500 0.000
0.500 0.750 0.000
0.224 0.224 0.224
0.776 0.224 0.224
0.224 0.776 0.224
0.776 0.776 0.224
0.500 0.500 0.248
0.500 0.000 0.250
0.000 0.500 0.250
0.250 0.000 0.500
0.750 0.000 0.500
0.500 0.248 0.500
0.000 0.250 0.500
0.248 0.500 0.500
0.752 0.500 0.500
0.000 0.750 0.500
0.500 0.752 0.500
0.500 0.000 0.750
0.000 0.500 0.750
0.500 0.500 0.752
0.224 0.224 0.776
0.776 0.224 0.776
0.224 0.776 0.776
0.776 0.776 0.776



[10]
K3NaFeCl6 (PBE, optimized geometry); excess energy over the best structure of this formula in the dataset = 0.3 meV per atom; crystal system = trigonal
1.0
-7.476 1.736 3.235
-3.060 -0.576 -7.725
-0.890 -8.168 1.364
Cl Fe K Na
12 2 6 2
direct
0.713 0.920 0.045
0.955 0.287 0.080
0.545 0.420 0.213
0.080 0.955 0.287
0.213 0.545 0.420
0.580 0.787 0.455
0.420 0.213 0.545
0.787 0.455 0.580
0.920 0.045 0.713
0.455 0.580 0.787
0.045 0.713 0.920
0.287 0.080 0.955
0.000 0.000 0.000
0.500 0.500 0.500
0.374 0.750 0.126
0.874 0.626 0.250
0.750 0.126 0.374
0.250 0.874 0.626
0.126 0.374 0.750
0.626 0.250 0.874
0.250 0.250 0.250
0.750 0.750 0.750



[11]
K2NaFeCl6 (PBE, optimized geometry); E_tot = -37.18 eV/cell; crystal system = cubic
1.0
0.945 -4.972 -5.057
2.233 -6.554 1.800
-4.488 -5.554 -0.438
Cl Fe K Na
6 1 2 1
direct
0.235 0.765 0.235
0.765 0.765 0.235
0.765 0.235 0.235
0.765 0.235 0.765
0.235 0.765 0.765
0.235 0.235 0.765
0.000 0.000 0.000
0.250 0.250 0.250
0.750 0.750 0.750
0.500 0.500 0.500



[12]
K3NaFeCl6 (PBE, optimized geometry); excess energy over the best structure of this formula in the dataset = 0.0 meV per atom; crystal system = trigonal
1.0
12.038 0.000 0.000
-6.019 10.425 0.000
0.000 0.000 13.798
Cl Fe K Na
36 6 18 6
direct
0.154 0.514 0.059
0.486 0.639 0.059
0.361 0.846 0.059
0.179 0.027 0.107
0.973 0.152 0.107
0.848 0.821 0.107
0.694 0.181 0.226
0.487 0.306 0.226
0.819 0.513 0.226
0.306 0.487 0.274
0.181 0.694 0.274
0.513 0.819 0.274
0.027 0.179 0.393
0.821 0.848 0.393
0.152 0.973 0.393
0.514 0.154 0.441
0.846 0.361 0.441
0.639 0.486 0.441
0.361 0.514 0.559
0.154 0.639 0.559
0.486 0.846 0.559
0.848 0.027 0.607
0.179 0.152 0.607
0.973 0.821 0.607
0.487 0.181 0.726
0.819 0.306 0.726
0.694 0.513 0.726
0.181 0.487 0.774
0.513 0.694 0.774
0.306 0.819 0.774
0.152 0.179 0.893
0.027 0.848 0.893
0.821 0.973 0.893
0.639 0.154 0.941
0.514 0.361 0.941
0.846 0.486 0.941
0.000 0.000 0.000
0.333 0.667 0.167
0.667 0.333 0.333
0.000 0.000 0.500
0.333 0.667 0.667
0.667 0.333 0.833
0.290 0.333 0.083
0.043 0.710 0.083
0.667 0.957 0.083
0.376 0.000 0.250
0.000 0.376 0.250
0.624 0.624 0.250
0.710 0.043 0.417
0.333 0.290 0.417
0.957 0.667 0.417
0.043 0.333 0.583
0.667 0.710 0.583
0.290 0.957 0.583
0.624 0.000 0.750
0.376 0.376 0.750
0.000 0.624 0.750
0.333 0.043 0.917
0.957 0.290 0.917
0.710 0.667 0.917
0.667 0.333 0.083
0.000 0.000 0.250
0.333 0.667 0.417
0.667 0.333 0.583
0.000 0.000 0.750
0.333 0.667 0.917



[13]
K2FePdCl6 (PBE, optimized geometry); E_tot = -37.92 eV/cell; crystal system = cubic
1.0
0.000 4.920 4.920
4.920 0.000 4.920
4.920 4.920 0.000
Cl Fe K Pd
6 1 2 1
direct
0.244 0.756 0.244
0.756 0.756 0.244
0.756 0.244 0.244
0.756 0.244 0.756
0.244 0.244 0.756
0.244 0.756 0.756
0.000 0.000 0.000
0.250 0.250 0.250
0.750 0.750 0.750
0.500 0.500 0.500



[14]
KRb2FeCl6 (PBE, optimized geometry); E_tot = -37.08 eV/cell; crystal system = cubic
1.0
-4.889 -5.603 1.071
-6.287 -0.335 -4.100
-0.798 -5.340 -5.225
Cl Fe K Rb
6 1 1 2
direct
0.775 0.225 0.225
0.225 0.775 0.225
0.775 0.775 0.225
0.775 0.225 0.775
0.225 0.775 0.775
0.225 0.225 0.775
0.000 0.000 0.000
0.500 0.500 0.500
0.250 0.250 0.250
0.750 0.750 0.750



[15]
K2TlFeCl6 (PBE, optimized geometry); E_tot = -36.32 eV/cell; crystal system = cubic
1.0
0.000 5.277 5.277
5.277 0.000 5.277
5.277 5.277 0.000
Cl Fe K Tl
6 1 2 1
direct
0.774 0.226 0.226
0.226 0.774 0.226
0.774 0.774 0.226
0.226 0.226 0.774
0.774 0.226 0.774
0.226 0.774 0.774
0.000 0.000 0.000
0.250 0.250 0.250
0.750 0.750 0.750
0.500 0.500 0.500



[16]
La2Fe2Cl (PBE, optimized geometry); E_tot = -31.83 eV/cell; crystal system = hexagonal
1.0
3.984 0.000 0.000
-1.992 3.450 0.000
0.000 0.000 8.491
Cl Fe La
1 2 2
direct
0.667 0.333 0.000
0.667 0.333 0.500
0.333 0.667 0.500
0.000 0.000 0.270
0.000 0.000 0.730